# Hg2BiPb2, optimized geometry, DFT PBE
data_Hg2BiPb2
_chemical_formula_sum 'Hg2 Bi1 Pb2'
_cell_length_a 4.6321
_cell_length_b 5.7310
_cell_length_c 6.8658
_cell_angle_alpha 68.36
_cell_angle_beta 89.75
_cell_angle_gamma 67.73
_space_group_name_H-M_alt 'P -1'
_space_group_IT_number 2
_space_group_name_Hall '-P 1'
loop_
_atom_site_label
_atom_site_type_symbol
_atom_site_fract_x
_atom_site_fract_y
_atom_site_fract_z
Hg1 Hg 0.1989 0.1078 0.3302
Bi1 Bi 0.5000 0.5000 0.0000
Pb1 Pb 0.1303 0.2364 0.7691
# excess energy over the best structure of this formula in the dataset	0.013	eV per atom
# V	31.0	Å³/atom
# energy relative to the elements	0.3	eV per formula unit
# Fermi-level density of states	2.048	states/eV/f.u.
# total magnetic moment	0.00	μB/f.u.
# final energy	-2.319	eV per atom

# Np2Ni3Ge5, optimized geometry, DFT PBE
data_Np2Ni3Ge5
_chemical_formula_sum 'Np8 Ni12 Ge20'
_cell_length_a 4.1997
_cell_length_b 24.2780
_cell_length_c 6.5366
_cell_angle_alpha 90.00
_cell_angle_beta 90.00
_cell_angle_gamma 90.00
_space_group_name_H-M_alt 'C m c 21'
_space_group_IT_number 36
_space_group_name_Hall 'C 2c -2'
loop_
_atom_site_label
_atom_site_type_symbol
_atom_site_fract_x
_atom_site_fract_y
_atom_site_fract_z
Np1 Np 0.0000 0.0205 0.0000
Np2 Np 0.0000 0.3269 0.0056
Ni1 Ni 0.0000 0.1065 0.2620
Ni2 Ni 0.0000 0.2808 0.4904
Ni3 Ni 0.0000 0.4441 0.2176
Ge1 Ge 0.0000 0.0976 0.6412
Ge2 Ge 0.0000 0.2064 0.2053
Ge3 Ge 0.0000 0.2139 0.7862
Ge4 Ge 0.0000 0.3800 0.5126
Ge5 Ge 0.0000 0.4502 0.8284
# excess energy over the best structure of this formula in the dataset	0.060	eV per atom
# V	16.7	Å³/atom
# energy relative to the elements	-2.7	eV per formula unit
# Fermi-level density of states	17.174	states/eV/f.u.
# total magnetic moment	8.03	μB/f.u.
# final energy	-6.902	eV per atom

# B2PdC, optimized geometry, DFT PBE
data_B2PdC
_chemical_formula_sum 'B8 Pd4 C4'
_cell_length_a 4.5443
_cell_length_b 4.5443
_cell_length_c 7.4933
_cell_angle_alpha 90.00
_cell_angle_beta 90.00
_cell_angle_gamma 90.00
_space_group_name_H-M_alt 'I -4 2 d'
_space_group_IT_number 122
_space_group_name_Hall 'I -4 2bw'
loop_
_atom_site_label
_atom_site_type_symbol
_atom_site_fract_x
_atom_site_fract_y
_atom_site_fract_z
B1 B 0.1461 0.2500 0.1250
Pd1 Pd 0.0000 0.0000 0.5000
C1 C 0.0000 0.0000 0.0000
# V	9.7	Å³/atom
# energy relative to the elements	1.5	eV per formula unit
# Fermi-level density of states	0.729	states/eV/f.u.
# total magnetic moment	0.00	μB/f.u.
# final energy	-6.577	eV per atom

# SiAu4, optimized geometry, DFT PBE
data_SiAu4
_chemical_formula_sum 'Si4 Au16'
_cell_length_a 5.6422
_cell_length_b 15.0959
_cell_length_c 4.5153
_cell_angle_alpha 90.00
_cell_angle_beta 90.00
_cell_angle_gamma 90.00
_space_group_name_H-M_alt 'C m c m'
_space_group_IT_number 63
_space_group_name_Hall '-C 2c 2'
loop_
_atom_site_label
_atom_site_type_symbol
_atom_site_fract_x
_atom_site_fract_y
_atom_site_fract_z
Si1 Si 0.0000 0.1896 0.2500
Au1 Au 0.2438 0.4468 0.7500
Au2 Au 0.2493 0.3286 0.2500
# V	19.2	Å³/atom
# energy relative to the elements, uncorrected	0.069	eV/atom
# Fermi-level density of states	2.160	states/eV/f.u.
# total magnetic moment	0.00	μB/f.u.
# final energy	-3.638	eV per atom

# Y3TlBr, optimized geometry, DFT PBE
data_Y3TlBr
_chemical_formula_sum 'Y3 Tl1 Br1'
_cell_length_a 5.3359
_cell_length_b 5.3359
_cell_length_c 5.3359
_cell_angle_alpha 90.00
_cell_angle_beta 90.00
_cell_angle_gamma 90.00
_space_group_name_H-M_alt 'P m -3 m'
_space_group_IT_number 221
_space_group_name_Hall '-P 4 2 3'
loop_
_atom_site_label
_atom_site_type_symbol
_atom_site_fract_x
_atom_site_fract_y
_atom_site_fract_z
Y1 Y 0.0000 0.0000 0.5000
Tl1 Tl 0.5000 0.5000 0.5000
Br1 Br 0.0000 0.0000 0.0000
# excess energy over the best structure of this formula in the dataset	0.000	eV per atom
# V	30.4	Å³/atom
# energy relative to the elements, uncorrected	-0.210	eV/atom
# Fermi-level density of states	11.785	states/eV/f.u.
# total magnetic moment	0.00	μB/f.u.
# final energy	-4.897	eV per atom

# AlTlPd3, optimized geometry, DFT PBE
data_AlTlPd3
_chemical_formula_sum 'Al1 Tl1 Pd3'
_cell_length_a 5.0133
_cell_length_b 5.0133
_cell_length_c 5.0133
_cell_angle_alpha 90.00
_cell_angle_beta 90.00
_cell_angle_gamma 90.00
_space_group_name_H-M_alt 'P m -3 m'
_space_group_IT_number 221
_space_group_name_Hall '-P 4 2 3'
loop_
_atom_site_label
_atom_site_type_symbol
_atom_site_fract_x
_atom_site_fract_y
_atom_site_fract_z
Al1 Al 0.0000 0.0000 0.0000
Tl1 Tl 0.5000 0.5000 0.5000
Pd1 Pd 0.0000 0.5000 0.5000
# excess energy over the best structure of this formula in the dataset	0.831	eV per atom
# V	25.2	Å³/atom
# energy relative to the elements	4.2	eV per formula unit
# Fermi-level density of states	3.901	states/eV/f.u.
# total magnetic moment	0.00	μB/f.u.
# final energy	-3.503	eV per atom

# CsCa2Mg2, optimized geometry, DFT PBE
data_CsCa2Mg2
_chemical_formula_sum 'Cs2 Ca4 Mg4'
_cell_length_a 10.2783
_cell_length_b 10.2783
_cell_length_c 3.7695
_cell_angle_alpha 90.00
_cell_angle_beta 90.00
_cell_angle_gamma 90.00
_space_group_name_H-M_alt 'P 4/m b m'
_space_group_IT_number 127
_space_group_name_Hall '-P 4 2ab'
loop_
_atom_site_label
_atom_site_type_symbol
_atom_site_fract_x
_atom_site_fract_y
_atom_site_fract_z
Cs1 Cs 0.0000 0.0000 0.0000
Ca1 Ca 0.1258 0.3742 0.0000
Mg1 Mg 0.1629 0.6629 0.5000
# excess energy over the best structure of this formula in the dataset	0.000	eV per atom
# V	39.8	Å³/atom
# energy relative to the elements	0.6	eV per formula unit
# Fermi-level density of states	5.189	states/eV/f.u.
# total magnetic moment	0.00	μB/f.u.
# final energy	-1.492	eV per atom

# GeHBr3, optimized geometry, DFT PBE
data_GeHBr3
_chemical_formula_sum 'Ge4 H4 Br12'
_cell_length_a 5.9558
_cell_length_b 10.5457
_cell_length_c 11.4293
_cell_angle_alpha 90.00
_cell_angle_beta 95.02
_cell_angle_gamma 90.00
_space_group_name_H-M_alt 'P 1 21/c 1'
_space_group_IT_number 14
_space_group_name_Hall '-P 2ybc'
loop_
_atom_site_label
_atom_site_type_symbol
_atom_site_fract_x
_atom_site_fract_y
_atom_site_fract_z
Ge1 Ge 0.2144 0.0011 0.1315
H1 H 0.2931 0.1456 0.7394
Br1 Br 0.0093 0.6746 0.5024
Br2 Br 0.0377 0.5015 0.2086
Br3 Br 0.4858 0.2361 0.7520
# excess energy over the best structure of this formula in the dataset	0.008	eV per atom
# V	35.8	Å³/atom
# Fermi-level density of states	0.000	states/eV/f.u.
# total magnetic moment	0.00	μB/f.u.
# final energy	-3.015	eV per atom